First-principles (PBE) data for a relaxed DyMg2Cd10 crystal, as listed in Alexandria.

ΔE_f ... -1.438 eV/f.u.
Density of states at the Fermi level ... 3.0 states/eV/f.u.

Cell and atoms, written as extended XYZ:
```
13
Lattice="0.000 6.941 6.987 3.022 0.000 6.987 3.022 6.941 0.000" Properties=species:S:1:pos:R:3 pbc="T T T"
Dy 0.000 0.000 0.000
Mg 1.511 0.000 3.494
Mg 1.511 6.941 3.494
Cd 1.511 3.470 0.000
Cd 3.022 4.559 2.444
Cd 3.022 5.465 5.474
Cd 3.022 9.323 2.444
Cd 3.022 8.417 5.474
Cd 1.511 3.470 6.987
Cd 3.022 5.465 8.501
Cd 3.022 4.559 11.531
Cd 3.022 8.417 8.501
Cd 3.022 9.323 11.531
```